Record 1
The following is a GGA-PBE calculation of an optimized crystal structure of SrGaSe, from Alexandria via LeMat-Bulk.

Unit cell a=4.289 b=4.289 c=12.148 alpha=100.21 beta=100.21 gamma=59.97
Positions (direct):
Sr  0.215  0.215  0.148
Sr  0.785  0.785  0.852
Ga  0.357  0.357  0.569
Ga  0.643  0.643  0.431
Se  0.065  0.065  0.695
Se  0.935  0.935  0.305

Calculated values
Magnetization, Bohr magnetons per cell: 0.0
Energy relative to the elements, uncorrected, eV per atom: -0.75
V, Å³ per cell: 189

=====

Record 2
The following is a GGA-PBE calculation of an optimized crystal structure of Rb2TbAuI6, from Alexandria via LeMat-Bulk.

Unit cell a=7.821 b=13.027 c=10.703 alpha=90.00 beta=116.55 gamma=90.00
Positions (direct):
Rb  0.037  0.208  0.389
Rb  0.037  0.292  0.889
Rb  0.963  0.708  0.111
Rb  0.963  0.792  0.611
Tb  0.500  0.000  0.000
Tb  0.500  0.500  0.500
Au  0.000  0.000  0.000
Au  0.000  0.500  0.500
I  0.160  0.060  0.727
I  0.160  0.440  0.227
I  0.311  0.089  0.182
I  0.311  0.411  0.682
I  0.335  0.713  0.485
I  0.335  0.787  0.985
I  0.665  0.213  0.015
I  0.665  0.287  0.515
I  0.689  0.589  0.318
I  0.689  0.911  0.818
I  0.840  0.560  0.773
I  0.840  0.940  0.273

Calculated values
Magnetization, Bohr magnetons per cell: 0.0
Energy relative to the elements, uncorrected, eV per atom: -1.17
V, Å³ per cell: 975

=====

Record 3
The following is a GGA-PBE calculation of an optimized crystal structure of PuUFeRu, from Alexandria via LeMat-Bulk.

Unit cell a=4.541 b=4.541 c=4.541 alpha=60.00 beta=60.00 gamma=60.00
Positions (direct):
Pu  0.000  0.000  0.000
U  0.250  0.250  0.250
Fe  0.750  0.750  0.750
Ru  0.500  0.500  0.500

Calculated values
Formation energy, meV per atom: -195
Magnetization, Bohr magnetons per cell: 2.5
V, Å³ per cell: 66